The following is a PBE-GGA calculation of Li3PCl after structural relaxation, from Alexandria via LeMat-Bulk.

Summary:
Energy = -3.2018 eV/atom
Symmetry = Pm-3m (221)
Calculated volume = 106.7 Å³/f.u.
Excess energy over the best structure of this formula in the dataset = 71 meV/atom
Magnetization = 1.0 μB/f.u.

Cell lengths 4.742, 4.742, 4.742 Å; angles 90.00, 90.00, 90.00 degrees
Fractional coordinates of all 5 atoms:
Li (0.000, 0.000, 0.500)
Li (0.000, 0.500, 0.000)
Li (0.500, 0.000, 0.000)
P (0.000, 0.000, 0.000)
Cl (0.500, 0.500, 0.500)

The following is a PBE-GGA calculation of MgAlCd4 after structural relaxation, from Alexandria via LeMat-Bulk.

Summary:
Energy = -1.4830 eV/atom
Symmetry = C2/m (12)
Calculated volume = 128.4 Å³/f.u.
Excess energy over the best structure of this formula in the dataset = 0 meV/atom
Calculated formation energy = 0.02 eV/atom
Magnetization = 0.0 μB/f.u.

Cell lengths 13.376, 4.332, 4.441 Å; angles 90.00, 93.94, 90.00 degrees
Fractional coordinates of all 12 atoms:
Mg (0.000, 0.000, 0.000)
Mg (0.500, 0.500, 0.000)
Al (0.000, 0.500, 0.500)
Al (0.500, 0.000, 0.500)
Cd (0.162, 0.000, 0.508)
Cd (0.162, 0.500, 0.009)
Cd (0.338, 0.000, 0.991)
Cd (0.338, 0.500, 0.492)
Cd (0.662, 0.000, 0.009)
Cd (0.662, 0.500, 0.508)
Cd (0.838, 0.000, 0.492)
Cd (0.838, 0.500, 0.991)

The following is a PBE-GGA calculation of Li3Bi12Rh5 after structural relaxation, from Alexandria via LeMat-Bulk.

Summary:
Energy = -4.4804 eV/atom
Symmetry = Ia-3d (230)
Calculated volume = 555.1 Å³/f.u.
Calculated formation energy = -0.03 eV/atom
Magnetization = 0.0 μB/f.u.

Cell lengths 14.235, 14.235, 14.235 Å; angles 109.47, 109.47, 109.47 degrees
Fractional coordinates of all 80 atoms:
Li (0.125, 0.250, 0.375)
Li (0.125, 0.375, 0.750)
Li (0.250, 0.375, 0.125)
Li (0.250, 0.875, 0.625)
Li (0.375, 0.125, 0.250)
Li (0.375, 0.750, 0.125)
Li (0.625, 0.250, 0.875)
Li (0.625, 0.875, 0.750)
Li (0.750, 0.125, 0.375)
Li (0.750, 0.625, 0.875)
Li (0.875, 0.625, 0.250)
Li (0.875, 0.750, 0.625)
Bi (0.043, 0.221, 0.111)
Bi (0.043, 0.322, 0.932)
Bi (0.068, 0.611, 0.390)
Bi (0.068, 0.957, 0.678)
Bi (0.110, 0.721, 0.678)
Bi (0.110, 0.889, 0.432)
Bi (0.111, 0.043, 0.221)
Bi (0.111, 0.568, 0.890)
Bi (0.178, 0.221, 0.610)
Bi (0.178, 0.457, 0.568)
Bi (0.221, 0.111, 0.043)
Bi (0.221, 0.610, 0.178)
Bi (0.279, 0.322, 0.890)
Bi (0.279, 0.457, 0.389)
Bi (0.322, 0.890, 0.279)
Bi (0.322, 0.932, 0.043)
Bi (0.389, 0.279, 0.457)
Bi (0.389, 0.610, 0.932)
Bi (0.390, 0.068, 0.611)
Bi (0.390, 0.822, 0.779)
Bi (0.432, 0.110, 0.889)
Bi (0.432, 0.822, 0.543)
Bi (0.457, 0.389, 0.279)
Bi (0.457, 0.568, 0.178)
Bi (0.543, 0.432, 0.822)
Bi (0.543, 0.611, 0.721)
Bi (0.568, 0.178, 0.457)
Bi (0.568, 0.890, 0.111)
Bi (0.610, 0.178, 0.221)
Bi (0.610, 0.932, 0.389)
Bi (0.611, 0.390, 0.068)
Bi (0.611, 0.721, 0.543)
Bi (0.678, 0.068, 0.957)
Bi (0.678, 0.110, 0.721)
Bi (0.721, 0.543, 0.611)
Bi (0.721, 0.678, 0.110)
Bi (0.779, 0.390, 0.822)
Bi (0.779, 0.889, 0.957)
Bi (0.822, 0.543, 0.432)
Bi (0.822, 0.779, 0.390)
Bi (0.889, 0.432, 0.110)
Bi (0.889, 0.957, 0.779)
Bi (0.890, 0.111, 0.568)
Bi (0.890, 0.279, 0.322)
Bi (0.932, 0.043, 0.322)
Bi (0.932, 0.389, 0.610)
Bi (0.957, 0.678, 0.068)
Bi (0.957, 0.779, 0.889)
Rh (0.000, 0.000, 0.000)
Rh (0.000, 0.000, 0.500)
Rh (0.000, 0.500, 0.000)
Rh (0.000, 0.500, 0.500)
Rh (0.125, 0.750, 0.875)
Rh (0.125, 0.875, 0.250)
Rh (0.250, 0.125, 0.875)
Rh (0.250, 0.625, 0.375)
Rh (0.375, 0.250, 0.625)
Rh (0.375, 0.625, 0.750)
Rh (0.500, 0.000, 0.000)
Rh (0.500, 0.000, 0.500)
Rh (0.500, 0.500, 0.000)
Rh (0.500, 0.500, 0.500)
Rh (0.625, 0.375, 0.250)
Rh (0.625, 0.750, 0.375)
Rh (0.750, 0.375, 0.625)
Rh (0.750, 0.875, 0.125)
Rh (0.875, 0.125, 0.750)
Rh (0.875, 0.250, 0.125)

The following is a PBE-GGA calculation of Li2InGa2Au2 after structural relaxation, from Alexandria via LeMat-Bulk.

Summary:
Energy = -3.1133 eV/atom
Symmetry = C2/m (12)
Calculated volume = 123.4 Å³/f.u.
Calculated formation energy = -0.37 eV/atom
Magnetization = 0.0 μB/f.u.

Cell lengths 7.720, 4.502, 7.657 Å; angles 90.00, 111.93, 90.00 degrees
Fractional coordinates of all 14 atoms:
Li (0.137, 0.000, 0.413)
Li (0.363, 0.500, 0.587)
Li (0.637, 0.500, 0.413)
Li (0.863, 0.000, 0.587)
In (0.000, 0.000, 0.000)
In (0.500, 0.500, 0.000)
Ga (0.068, 0.500, 0.701)
Ga (0.432, 0.000, 0.299)
Ga (0.568, 0.000, 0.701)
Ga (0.932, 0.500, 0.299)
Au (0.235, 0.500, 0.213)
Au (0.265, 0.000, 0.787)
Au (0.735, 0.000, 0.213)
Au (0.765, 0.500, 0.787)

The following is a PBE-GGA calculation of SbTe3Cl after structural relaxation, from Alexandria via LeMat-Bulk.

Summary:
Energy = -3.2717 eV/atom
Symmetry = Pmn2_1 (31)
Calculated volume = 183.3 Å³/f.u.
Excess energy over the best structure of this formula in the dataset = 0 meV/atom
Magnetization = 0.0 μB/f.u.

Cell lengths 8.849, 7.826, 5.294 Å; angles 90.00, 90.00, 90.00 degrees
Fractional coordinates of all 10 atoms:
Sb (0.000, 0.007, 0.000)
Sb (0.500, 0.993, 0.500)
Te (0.000, 0.311, 0.620)
Te (0.227, 0.231, 0.266)
Te (0.273, 0.769, 0.766)
Te (0.500, 0.689, 0.120)
Te (0.727, 0.769, 0.766)
Te (0.773, 0.231, 0.266)
Cl (0.000, 0.785, 0.376)
Cl (0.500, 0.215, 0.876)